Entry 1:
This record from Alexandria describes an optimized crystal structure of Tb3Tl3HgTe8. The functional is PBE-GGA.

Unit cell a=8.806 b=8.749 c=9.631 alpha=116.81 beta=90.00 gamma=120.22
Atoms (fractional coordinates):
Tb: 0.500 0.000 0.500
Tb: 0.500 0.500 0.500
Tb: 0.000 0.500 0.500
Tl: 0.000 0.000 0.000
Tl: 0.000 0.500 0.000
Tl: 0.500 0.500 0.000
Hg: 0.000 0.000 0.500
Te: 0.259 0.519 0.282
Te: 0.741 0.481 0.718
Te: 0.789 0.577 0.307
Te: 0.211 0.423 0.693
Te: 0.717 0.036 0.253
Te: 0.283 0.964 0.747
Te: 0.318 0.036 0.253
Te: 0.682 0.964 0.747

Output
The crystal system is monoclinic. As for the symmetry: No. 12. Its total energy is -0.1416 hartree per atom. As for the total moment: 0.0 μB/cell. The raw formation energy comes out at -0.7591 eV per atom.

***

Entry 2:
This record from Alexandria describes an optimized crystal structure of Ba4PtI. The functional is PBE-GGA.

Unit cell a=4.627 b=8.857 c=9.216 alpha=115.97 beta=90.00 gamma=105.14
Atoms (fractional coordinates):
Ba: 0.877 0.753 0.167
Ba: 0.123 0.247 0.833
Ba: 0.386 0.771 0.763
Ba: 0.614 0.229 0.237
Pt: 0.000 0.000 0.000
I: 0.500 0.000 0.500

Output
The crystal system is monoclinic. As for the symmetry: No. 12. Its total energy is -0.1203 hartree per atom. As for the total moment: 0.0 μB/cell. The raw formation energy comes out at -0.7261 eV per atom.

***

Entry 3:
This record from Alexandria describes an optimized crystal structure of LaTmHgGe. The functional is PBE-GGA.

Unit cell a=5.260 b=5.260 c=5.260 alpha=60.00 beta=60.00 gamma=60.00
Atoms (fractional coordinates):
Ge: 0.250 0.250 0.250
Tm: 0.000 0.000 0.000
Hg: 0.750 0.750 0.750
La: 0.500 0.500 0.500

Output
The crystal system is cubic. As for the symmetry: No. 216. Its total energy is -0.1518 hartree per atom. As for the total moment: 0.0 μB/cell. As for the formation energy from the elements: -0.5511 eV/atom.

***

Entry 4:
This record from Alexandria describes an optimized crystal structure of Pm2SnHg6. The functional is PBE-GGA.

Unit cell a=4.482 b=7.766 c=7.384 alpha=108.03 beta=107.67 gamma=90.00
Atoms (fractional coordinates):
Pm: 0.929 0.181 0.857
Pm: 0.071 0.819 0.143
Sn: 0.500 0.500 0.000
Hg: 0.395 0.837 0.789
Hg: 0.605 0.163 0.211
Hg: 0.735 0.812 0.470
Hg: 0.163 0.488 0.326
Hg: 0.265 0.188 0.530
Hg: 0.837 0.512 0.674

Output
The crystal system is monoclinic. As for the symmetry: No. 12. Its total energy is -0.0743 hartree per atom. As for the total moment: 0.0 μB/cell. As for the formation energy from the elements: -0.3192 eV/atom.

***

Entry 5:
This record from Alexandria describes an optimized crystal structure of Ba2MgBr. The functional is PBE-GGA.

Unit cell a=9.759 b=9.759 c=9.759 alpha=155.39 beta=152.78 gamma=37.02
Each line ends with the local moment (μB).
Atoms (fractional coordinates):
Ba: 0.955 0.955 0.000  0.09
Ba: 0.701 0.201 0.500  0.01
Br: 0.542 0.542 0.000  0.00
Mg: 0.302 0.802 0.500  0.00

Output
The crystal system is orthorhombic. As for the symmetry: No. 44. Its total energy is -0.0897 hartree per atom. As for the total moment: 0.4 μB/cell. The raw formation energy comes out at -0.6623 eV per atom.

***

Entry 6:
This record from Alexandria describes an optimized crystal structure of MgPaCdIn. The functional is PBE-GGA.

Unit cell a=5.154 b=5.154 c=5.154 alpha=60.00 beta=60.00 gamma=60.00
Atoms (fractional coordinates):
Cd: 0.500 0.500 0.500
Mg: 0.750 0.750 0.750
Pa: 0.250 0.250 0.250
In: 0.000 0.000 0.000

Output
The crystal system is cubic. As for the symmetry: No. 216. Its total energy is -0.1325 hartree per atom. As for the total moment: 0.0 μB/cell. As for the formation energy from the elements: 0.0797 eV/atom.

***

Entry 7:
This record from Alexandria describes an optimized crystal structure of NaNpB2O8. The functional is PBE-GGA.

Unit cell a=4.893 b=4.893 c=7.211 alpha=91.48 beta=91.48 gamma=65.70
Each line ends with the local moment (μB).
Atoms (fractional coordinates):
Na: 0.000 0.000 0.500  0.00
Np: 0.000 0.000 0.000  -0.03
B: 0.646 0.646 0.230  -0.02
B: 0.354 0.354 0.770  -0.02
O: 0.680 0.217 0.797  0.10
O: 0.775 0.775 0.075  0.03
O: 0.718 0.718 0.410  0.63
O: 0.282 0.282 0.590  0.63
O: 0.225 0.225 0.925  0.03
O: 0.217 0.680 0.797  0.10
O: 0.783 0.320 0.203  0.10
O: 0.320 0.783 0.203  0.10

Output
The crystal system is monoclinic. As for the symmetry: No. 12. Its total energy is -0.2762 hartree per atom. As for the total moment: 2.0 μB/cell. The raw formation energy comes out at -1.9101 eV per atom.

***

Entry 8:
This record from Alexandria describes an optimized crystal structure of Cs2LaPrSe4. The functional is PBE-GGA.

Unit cell a=4.468 b=7.737 c=8.784 alpha=107.04 beta=90.00 gamma=90.00
Atoms (fractional coordinates):
Cs: 0.500 0.000 0.500
Cs: 0.000 0.500 0.500
La: 0.000 0.000 0.000
Pr: 0.500 0.500 0.000
Se: 0.500 0.232 0.191
Se: 0.500 0.768 0.809
Se: 0.000 0.271 0.809
Se: 0.000 0.729 0.191

Output
The crystal system is monoclinic. As for the symmetry: No. 10. Its total energy is -0.1815 hartree per atom. As for the total moment: 0.0 μB/cell. The raw formation energy comes out at -1.7701 eV per atom.

***

Question: total moment of number 6 (MgPaCdIn)?
Answer: 0.0 μB/cell

***

Question: Which value of total moment does entry 4 give?
Answer: 0.0 μB/cell

***

Please write out number 6 again, unchanged.
This record from Alexandria describes an optimized crystal structure of MgPaCdIn. The functional is PBE-GGA.

Unit cell a=5.154 b=5.154 c=5.154 alpha=60.00 beta=60.00 gamma=60.00
Atoms (fractional coordinates):
Cd: 0.500 0.500 0.500
Mg: 0.750 0.750 0.750
Pa: 0.250 0.250 0.250
In: 0.000 0.000 0.000

Output
The crystal system is cubic. As for the symmetry: No. 216. Its total energy is -0.1325 hartree per atom. As for the total moment: 0.0 μB/cell. As for the formation energy from the elements: 0.0797 eV/atom.